# 1
An optimized crystal structure of BaLaCoN2. Source: Alexandria via LeMat-Bulk, functional PBE.

Lattice parameters (Å, degrees): 5.9237 5.1309 7.2857 90.00 94.44 90.00
Atoms (fractional coordinates):
Ba 0.0000 0.0457 0.2500
Ba 0.0000 0.9543 0.7500
La 0.5000 0.4892 0.7500
La 0.5000 0.5108 0.2500
Co 0.5000 0.0000 0.0000
Co 0.5000 0.0000 0.5000
N 0.2950 0.2598 0.9911
N 0.2950 0.7402 0.4911
N 0.7050 0.2598 0.5089
N 0.7050 0.7402 0.0089

Output
- Symmetry: No. 13
- Crystal system: monoclinic
- Formation energy without anion corrections: -2.88 eV per formula unit

# 2
An optimized crystal structure of CdFeW2. Source: Alexandria via LeMat-Bulk, functional PBE.

Lattice parameters (Å, degrees): 4.4931 4.4931 4.4931 60.00 60.00 60.00
Atoms (fractional coordinates):
Cd 0.0000 0.0000 0.0000
Fe 0.7500 0.7500 0.7500
W 0.2500 0.2500 0.2500
W 0.5000 0.5000 0.5000

Output
- Symmetry: No. 216
- Formation energy: 636 meV/atom
- Crystal system: cubic

# 3
An optimized crystal structure of Sr2AsRh. Source: Alexandria via LeMat-Bulk, functional PBE.

Lattice parameters (Å, degrees): 5.9251 5.9251 5.9251 135.59 135.59 64.61
Atoms (fractional coordinates):
Sr 0.0000 0.0000 0.0000
Sr 0.7500 0.2500 0.5000
As 0.2500 0.7500 0.5000
Rh 0.5000 0.5000 0.0000

Output
- Symmetry: No. 119
- Formation energy: -302 meV/atom
- Crystal system: tetragonal

# 4
An optimized crystal structure of BaNaHg6Bi2. Source: Alexandria via LeMat-Bulk, functional PBE.

Lattice parameters (Å, degrees): 9.5896 9.5896 8.7754 109.88 109.88 111.74
Atoms (fractional coordinates):
Ba 0.2096 0.7904 0.7500
Ba 0.7904 0.2096 0.2500
Na 0.4367 0.5633 0.2500
Na 0.5633 0.4367 0.7500
Hg 0.0285 0.1959 0.9895
Hg 0.1116 0.5847 0.2246
Hg 0.1959 0.0285 0.4895
Hg 0.2610 0.4563 0.4718
Hg 0.4153 0.8884 0.2754
Hg 0.4563 0.2610 0.9718
Hg 0.5437 0.7390 0.0282
Hg 0.5847 0.1116 0.7246
Hg 0.7390 0.5437 0.5282
Hg 0.8041 0.9715 0.5105
Hg 0.8884 0.4153 0.7754
Hg 0.9715 0.8041 0.0105
Bi 0.1710 0.3482 0.7436
Bi 0.3482 0.1710 0.2436
Bi 0.6518 0.8290 0.7564
Bi 0.8290 0.6518 0.2564

Output
- Symmetry: No. 15
- Formation energy: -230 meV/atom
- Crystal system: monoclinic

# 5
An optimized crystal structure of YSb2Ir. Source: Alexandria via LeMat-Bulk, functional PBE.

Lattice parameters (Å, degrees): 5.6519 5.6519 5.6519 135.26 135.26 65.12
Atoms (fractional coordinates):
Y 0.0000 0.0000 0.0000
Sb 0.5000 0.5000 0.0000
Sb 0.7500 0.2500 0.5000
Ir 0.2500 0.7500 0.5000

Output
- Symmetry: No. 119
- Crystal system: tetragonal
- Formation energy without anion corrections: -1.28 eV per formula unit

# 6
An optimized crystal structure of TbEr6Tm3. Source: Alexandria via LeMat-Bulk, functional PBE.

Lattice parameters (Å, degrees): 10.8054 10.8054 6.1018 90.00 90.00 119.77
Atoms (fractional coordinates):
Tb 0.2084 0.7916 0.5000
Tb 0.7916 0.2084 0.0000
Er 0.0385 0.4586 0.7040
Er 0.0483 0.9517 0.2629
Er 0.2855 0.7145 0.9870
Er 0.2891 0.3819 0.8741
Er 0.3819 0.2891 0.3741
Er 0.4586 0.0385 0.2040
Er 0.5414 0.9615 0.7040
Er 0.6181 0.7109 0.8741
Er 0.7109 0.6181 0.3741
Er 0.7145 0.2855 0.4870
Er 0.9517 0.0483 0.7629
Er 0.9615 0.5414 0.2040
Tm 0.0638 0.2804 0.2988
Tm 0.2804 0.0638 0.7988
Tm 0.3902 0.6098 0.4168
Tm 0.6098 0.3902 0.9168
Tm 0.7196 0.9362 0.2988
Tm 0.9362 0.7196 0.7988

Output
- ΔE to the lowest computed polymorph: 24.1 meV/atom
- Symmetry: No. 36
- Formation energy: 150 meV/atom
- Crystal system: orthorhombic

# 7
An optimized crystal structure of La12Ge6N. Source: Alexandria via LeMat-Bulk, functional PBE.

Lattice parameters (Å, degrees): 8.5515 8.5515 8.5515 98.49 98.49 98.49
Atoms (fractional coordinates):
La 0.0168 0.9372 0.6940
La 0.0628 0.3060 0.9832
La 0.1872 0.5713 0.4312
La 0.3060 0.9832 0.0628
La 0.4287 0.5688 0.8128
La 0.4312 0.1872 0.5713
La 0.5688 0.8128 0.4287
La 0.5713 0.4312 0.1872
La 0.6940 0.0168 0.9372
La 0.8128 0.4287 0.5688
La 0.9372 0.6940 0.0168
La 0.9832 0.0628 0.3060
Ge 0.1231 0.2953 0.6343
Ge 0.2953 0.6343 0.1231
Ge 0.3657 0.8769 0.7047
Ge 0.6343 0.1231 0.2953
Ge 0.7047 0.3657 0.8769
Ge 0.8769 0.7047 0.3657
N 0.0000 0.0000 0.0000

Output
- Symmetry: No. 148
- Crystal system: trigonal
- Formation energy without anion corrections: -11.76 eV per formula unit

# 8
An optimized crystal structure of Pm8SiGe3Te4. Source: Alexandria via LeMat-Bulk, functional PBE.

Lattice parameters (Å, degrees): 8.8383 8.8383 8.8383 58.92 58.92 58.92
Atoms (fractional coordinates):
Pm 0.2413 0.2413 0.2413
Pm 0.2424 0.7406 0.7406
Pm 0.2594 0.2594 0.7576
Pm 0.2594 0.7576 0.2594
Pm 0.7406 0.2424 0.7406
Pm 0.7406 0.7406 0.2424
Pm 0.7576 0.2594 0.2594
Pm 0.7587 0.7587 0.7587
Si 0.5000 0.5000 0.5000
Ge 0.0000 0.0000 0.5000
Ge 0.0000 0.5000 0.0000
Ge 0.5000 0.0000 0.0000
Te 0.0000 0.0000 0.0000
Te 0.0000 0.5000 0.5000
Te 0.5000 0.0000 0.5000
Te 0.5000 0.5000 0.0000

Output
- Symmetry: No. 166
- Crystal system: trigonal
- Formation energy without anion corrections: -19.11 eV per formula unit

# 9
An optimized crystal structure of CsYPtBr6. Source: Alexandria via LeMat-Bulk, functional PBE.

Lattice parameters (Å, degrees): 7.1063 7.1063 8.3219 90.00 90.00 120.00
Atoms (fractional coordinates):
Cs 0.0000 0.0000 0.0000
Y 0.6667 0.3333 0.5000
Pt 0.3333 0.6667 0.5000
Br 0.0133 0.3746 0.6911
Br 0.0133 0.6387 0.3089
Br 0.3613 0.3746 0.3089
Br 0.3613 0.9867 0.6911
Br 0.6254 0.6387 0.6911
Br 0.6254 0.9867 0.3089

Output
- Symmetry: No. 149
- Crystal system: trigonal
- Formation energy without anion corrections: -10.84 eV per formula unit

# 10
An optimized crystal structure of PmSc3Cu4. Source: Alexandria via LeMat-Bulk, functional PBE.

Lattice parameters (Å, degrees): 9.4470 6.6838 4.7234 90.00 90.00 90.00
Atoms (fractional coordinates):
Pm 0.0000 0.0000 0.0000
Pm 0.5000 0.0000 0.0000
Sc 0.0000 0.5000 0.0000
Sc 0.2500 0.0000 0.4991
Sc 0.2500 0.5000 0.4974
Sc 0.5000 0.5000 0.0000
Sc 0.7500 0.0000 0.5009
Sc 0.7500 0.5000 0.5026
Cu 0.0000 0.2751 0.5000
Cu 0.0000 0.7249 0.5000
Cu 0.2500 0.2754 0.9958
Cu 0.2500 0.7246 0.9958
Cu 0.5000 0.2751 0.5000
Cu 0.5000 0.7249 0.5000
Cu 0.7500 0.2754 0.0042
Cu 0.7500 0.7246 0.0042

Output
- Symmetry: No. 51
- Formation energy: -221 meV/atom
- Crystal system: orthorhombic

# 11
An optimized crystal structure of La3Pm8Tl4. Source: Alexandria via LeMat-Bulk, functional PBE.

Lattice parameters (Å, degrees): 9.2686 9.2686 6.8441 111.45 111.45 87.44
Atoms (fractional coordinates):
La 0.0000 0.0000 0.0000
La 0.0000 0.5000 0.5000
La 0.5000 0.0000 0.5000
Pm 0.2572 0.2572 0.0086
Pm 0.2565 0.7435 0.5000
Pm 0.2601 0.7399 0.0000
Pm 0.2633 0.2633 0.5335
Pm 0.7367 0.7367 0.4665
Pm 0.7399 0.2601 0.0000
Pm 0.7435 0.2565 0.5000
Pm 0.7428 0.7428 0.9914
Tl 0.0000 0.0000 0.5000
Tl 0.0000 0.5000 0.0000
Tl 0.5000 0.0000 0.0000
Tl 0.5000 0.5000 0.0000

Output
- Symmetry: No. 12
- Formation energy: 59 meV/atom
- Crystal system: monoclinic

# 12
An optimized crystal structure of Sc2InCoH. Source: Alexandria via LeMat-Bulk, functional PBE.

Lattice parameters (Å, degrees): 4.7007 4.7007 3.4971 90.00 90.00 90.00
Atoms (fractional coordinates):
Sc 0.0000 0.5000 0.0000
Sc 0.5000 0.0000 0.0000
In 0.0000 0.0000 0.5000
Co 0.5000 0.5000 0.5000
H 0.5000 0.5000 0.0000

Output
- Symmetry: No. 123
- Crystal system: tetragonal

Computed volume (Å³ per cell) in order:
221; 64; 100; 596; 88; 618; 602; 476; 364; 298; 507; 77
Computed calculated total energy (eV per atom) in order:
-6.70; -8.18; -4.14; -1.51; -6.21; -4.39; -5.63; -5.56; -3.80; -5.24; -4.09; -5.54